Model i:
MnIrCl2: relaxed, GGA-PBEsol.

Output
* space group: P4/mmm

a b c (Å): 2.892 2.892 9.441
angles (deg): 90.00 90.00 90.00
Each line ends with the local moment (μB).
Positions (direct):
1 Ir 0.500 0.500 0.000  1.61
2 Cl 0.000 0.000 0.665  0.15
3 Mn 0.500 0.500 0.500  4.21
4 Cl 0.000 0.000 0.335  0.15

Model ii:
MnIrCl2: relaxed, GGA-PBEsol.

Output
* space group: C2/m

a b c (Å): 3.204 4.976 4.976
angles (deg): 108.56 107.36 107.36
Each line ends with the local moment (μB).
Positions (direct):
1 Mn 0.000 0.500 0.500  4.06
2 Cl 0.000 0.000 0.500  0.05
3 Cl 0.000 0.500 0.000  0.05
4 Ir 0.000 0.000 0.000  0.20

Energy comparison, zero being the most stable, in eV/atom: model i 0.318; model ii 0.000.

Model i:
Mo2IrCl: relaxed, GGA-PBEsol.

Output
* space group: I-4m2

a b c (Å): 3.734 3.734 5.061
angles (deg): 111.65 111.65 90.00
Positions (direct):
1 Cl 0.500 0.500 0.000
2 Mo 0.000 0.000 0.000
3 Ir 0.250 0.750 0.500
4 Mo 0.750 0.250 0.500

Model ii:
Mo2IrCl: relaxed, GGA-PBEsol.

Output
* space group: P4/mmm

a b c (Å): 2.778 4.576 4.576
angles (deg): 90.00 90.00 90.00
Positions (direct):
1 Mo 0.000 0.500 0.000
2 Mo 0.000 0.000 0.500
3 Cl 0.500 0.500 0.500
4 Ir 0.500 0.000 0.000

Energy comparison, zero being the most stable, in eV/atom: model i 0.532; model ii 0.000.

Model i:
NiIrCl2: relaxed, GGA-PBEsol.

Output
* space group: R3m

a b c (Å): 3.506 3.506 6.892
angles (deg): 75.26 75.26 60.00
Positions (direct):
1 Cl 0.781 0.781 0.656
2 Cl 0.966 0.966 0.102
3 Ir 0.508 0.508 0.475
4 Ni 0.245 0.245 0.266

Model ii:
NiIrCl2: relaxed, GGA-PBEsol.

Output
* space group: I4/mmm

a b c (Å): 4.288 4.285 4.288
angles (deg): 59.97 90.00 120.03
Positions (direct):
1 Ir 0.500 0.000 0.500
2 Cl 0.750 0.500 0.750
3 Ni 0.000 0.000 0.000
4 Cl 0.250 0.500 0.250

Energy comparison, zero being the most stable, in eV/atom: model i 0.000; model ii 0.799.

Model i:
P2IrCl: relaxed, GGA-PBEsol.

Output
* space group: P4/mmm

a b c (Å): 2.775 4.544 4.544
angles (deg): 90.00 90.00 90.00
Positions (direct):
1 Cl 0.500 0.500 0.500
2 P 0.000 0.000 0.500
3 Ir 0.500 0.000 0.000
4 P 0.000 0.500 0.000

Model ii:
P2IrCl: relaxed, GGA-PBEsol.

Output
* space group: C2/m

a b c (Å): 3.544 3.810 6.893
angles (deg): 75.09 75.10 62.28
Positions (direct):
1 Cl 0.500 0.500 0.500
2 P 0.633 0.586 0.148
3 P 0.367 0.414 0.852
4 Ir 0.000 0.000 0.000

Model iii:
P2IrCl: relaxed, GGA-PBEsol.

Output
* space group: Pmmm

a b c (Å): 2.693 3.391 7.558
angles (deg): 90.00 90.00 90.00
Positions (direct):
1 Cl 0.500 0.500 0.500
2 P 0.000 0.000 0.826
3 P 0.000 0.000 0.174
4 Ir 0.500 0.500 0.000

Energy comparison, zero being the most stable, in eV/atom: model i 0.899; model ii 0.000; model iii 0.425.

Model i:
IrPb2Cl: relaxed, GGA-PBEsol.

Output
* space group: R-3m

a b c (Å): 3.976 3.976 7.647
angles (deg): 74.93 74.93 60.00
Positions (direct):
1 Cl 0.500 0.500 0.500
2 Ir 0.000 0.000 0.000
3 Pb 0.734 0.734 0.797
4 Pb 0.266 0.266 0.203

Model ii:
IrPb2Cl: relaxed, GGA-PBEsol.

Output
* space group: I-4m2

a b c (Å): 3.938 3.938 6.641
angles (deg): 107.25 107.25 90.00
Positions (direct):
1 Pb 0.000 0.000 0.000
2 Pb 0.750 0.250 0.500
3 Cl 0.500 0.500 0.000
4 Ir 0.250 0.750 0.500

Energy comparison, zero being the most stable, in eV/atom: model i 0.000; model ii 0.393.

Model i:
ReIrCl2: relaxed, GGA-PBEsol.

Output
* space group: I4/mmm

a b c (Å): 3.957 3.957 4.675
angles (deg): 115.04 115.04 90.00
Positions (direct):
1 Ir 0.500 0.500 0.000
2 Cl 0.750 0.250 0.500
3 Cl 0.250 0.750 0.500
4 Re 0.000 0.000 0.000

Model ii:
ReIrCl2: relaxed, GGA-PBEsol.

Output
* space group: F-43m

a b c (Å): 4.432 4.432 4.432
angles (deg): 60.00 60.00 60.00
Each line ends with the local moment (μB).
Positions (direct):
1 Cl 0.000 0.000 0.000  0.01
2 Re 0.250 0.250 0.250  1.07
3 Ir 0.500 0.500 0.500  0.01
4 Cl 0.750 0.750 0.750  0.11

Energy comparison, zero being the most stable, in eV/atom: model i 0.337; model ii 0.000.

Model i:
Re2IrCl: relaxed, GGA-PBEsol.

Output
* space group: R-3m

a b c (Å): 2.787 2.787 8.652
angles (deg): 80.73 80.73 60.00
Positions (direct):
1 Cl 0.500 0.500 0.500
2 Re 0.249 0.249 0.253
3 Ir 0.000 0.000 0.000
4 Re 0.751 0.751 0.747

Model ii:
Re2IrCl: relaxed, GGA-PBEsol.

Output
* space group: C2/m

a b c (Å): 2.748 4.144 5.524
angles (deg): 98.92 90.00 109.36
Positions (direct):
1 Re 0.248 0.497 0.269
2 Cl 0.000 0.000 0.500
3 Re 0.752 0.503 0.731
4 Ir 0.500 0.000 0.000

Energy comparison, zero being the most stable, in eV/atom: model i 0.000; model ii 0.350.

Model i:
Ir2RuCl: relaxed, GGA-PBEsol.

Output
* space group: Cmmm

a b c (Å): 2.709 4.749 4.749
angles (deg): 110.92 90.00 90.00
Positions (direct):
1 Ir 0.000 0.500 0.000
2 Ru 0.500 0.000 0.000
3 Ir 0.000 0.000 0.500
4 Cl 0.500 0.500 0.500

Model ii:
Ir2RuCl: relaxed, GGA-PBEsol.

Output
* space group: Cmm2

a b c (Å): 2.687 2.766 8.967
angles (deg): 90.00 90.00 119.06
Positions (direct):
1 Cl 0.500 0.000 0.732
2 Ir 0.500 0.000 0.256
3 Ir 0.000 0.000 0.003
4 Ru 0.000 0.000 0.509

Energy comparison, zero being the most stable, in eV/atom: model i 0.346; model ii 0.000.

Model i:
SbIrCl2: relaxed, GGA-PBEsol.

Output
* space group: Fm-3m

a b c (Å): 4.669 4.669 4.669
angles (deg): 60.00 60.00 60.00
Positions (direct):
1 Sb 0.500 0.500 0.500
2 Cl 0.250 0.250 0.250
3 Ir 0.000 0.000 0.000
4 Cl 0.750 0.750 0.750

Model ii:
SbIrCl2: relaxed, GGA-PBEsol.

Output
* space group: Cmm2

a b c (Å): 3.197 3.197 8.068
angles (deg): 90.00 90.00 96.48
Positions (direct):
1 Sb 0.500 0.500 0.289
2 Ir 0.000 0.000 0.483
3 Cl 0.500 0.500 0.683
4 Cl 0.000 0.000 0.045

Energy comparison, zero being the most stable, in eV/atom: model i 0.665; model ii 0.000.

Model i:
SbIr2Cl: relaxed, GGA-PBEsol.

Output
* space group: I-42d

a b c (Å): 4.764 4.764 7.752
angles (deg): 107.90 107.90 90.00
Positions (direct):
1 Cl 0.750 0.250 0.500
2 Sb 0.000 0.000 0.000
3 Ir 0.625 0.531 0.750
4 Ir 0.469 0.875 0.250
5 Cl 0.500 0.500 0.000
6 Sb 0.250 0.750 0.500
7 Ir 0.125 0.219 0.750
8 Ir 0.781 0.375 0.250

Model ii:
SbIr2Cl: relaxed, GGA-PBEsol.

Output
* space group: F-43m

a b c (Å): 4.559 4.559 4.559
angles (deg): 60.00 60.00 60.00
Positions (direct):
1 Cl 0.500 0.500 0.500
2 Ir 0.000 0.000 0.000
3 Ir 0.750 0.750 0.750
4 Sb 0.250 0.250 0.250

Energy comparison, zero being the most stable, in eV/atom: model i 0.000; model ii 0.110.

Model i:
SbIr2Cl: relaxed, GGA-PBEsol.

Output
* space group: P4/mmm

a b c (Å): 3.513 4.315 4.315
angles (deg): 90.00 90.00 90.00
Positions (direct):
1 Cl 0.500 0.000 0.000
2 Ir 0.000 0.500 0.000
3 Ir 0.000 0.000 0.500
4 Sb 0.500 0.500 0.500

Model ii:
SbIr2Cl: relaxed, GGA-PBEsol.

Output
* space group: C2/m

a b c (Å): 2.939 4.923 5.403
angles (deg): 117.11 105.79 89.98
Positions (direct):
1 Ir 0.000 0.000 0.500
2 Sb 0.500 0.500 0.000
3 Cl 0.000 0.000 0.000
4 Ir 0.500 0.500 0.500

Energy comparison, zero being the most stable, in eV/atom: model i 0.122; model ii 0.000.

Model i:
Sb2IrCl: relaxed, GGA-PBEsol.

Output
* space group: Imm2

a b c (Å): 3.621 3.122 8.301
angles (deg): 100.84 102.60 90.00
Positions (direct):
1 Ir 0.298 0.798 0.596
2 Sb 0.714 0.214 0.429
3 Cl 0.568 0.568 0.136
4 Sb 0.920 0.920 0.839

Model ii:
Sb2IrCl: relaxed, GGA-PBEsol.

Output
* space group: I4/mmm

a b c (Å): 4.720 4.770 4.770
angles (deg): 59.33 60.34 60.34
Positions (direct):
1 Ir 0.000 0.500 0.500
2 Cl 0.500 0.000 0.000
3 Sb 0.750 0.250 0.250
4 Sb 0.250 0.750 0.750

Energy comparison, zero being the most stable, in eV/atom: model i 0.000; model ii 0.209.

Model i:
Sc2IrCl: relaxed, GGA-PBEsol.

Output
* space group: I-4m2

a b c (Å): 3.666 3.666 5.875
angles (deg): 108.18 108.18 90.00
Positions (direct):
1 Sc 0.000 0.000 0.000
2 Cl 0.500 0.500 0.000
3 Sc 0.750 0.250 0.500
4 Ir 0.250 0.750 0.500

Model ii:
Sc2IrCl: relaxed, GGA-PBEsol.

Output
* space group: R-3m

a b c (Å): 3.013 3.013 9.180
angles (deg): 80.55 80.55 60.00
Positions (direct):
1 Sc 0.090 0.090 0.730
2 Ir 0.000 0.000 0.000
3 Cl 0.500 0.500 0.500
4 Sc 0.910 0.910 0.270

Model iii:
Sc2IrCl: relaxed, GGA-PBEsol.

Output
* space group: C2/m

a b c (Å): 3.674 3.674 7.192
angles (deg): 75.26 75.26 60.05
Positions (direct):
1 Cl 0.500 0.500 0.000
2 Ir 0.000 0.000 0.500
3 Sc 0.264 0.264 0.710
4 Sc 0.736 0.736 0.290

Model iv:
Sc2IrCl: relaxed, GGA-PBEsol.

Output
* space group: Amm2

a b c (Å): 3.070 4.537 5.265
angles (deg): 90.00 106.95 90.00
Positions (direct):
1 Cl 0.508 0.000 0.016
2 Ir 0.739 0.500 0.477
3 Sc 0.001 0.500 0.002
4 Sc 0.253 0.000 0.505

Energy comparison, zero being the most stable, in eV/atom: model i 0.425; model ii 0.666; model iii 0.000; model iv 0.145.

Model i:
ScIr2Cl: relaxed, GGA-PBEsol.

Output
* space group: F-43m

a b c (Å): 4.480 4.480 4.480
angles (deg): 60.00 60.00 60.00
Positions (direct):
1 Ir 0.000 0.000 0.000
2 Ir 0.250 0.250 0.250
3 Sc 0.750 0.750 0.750
4 Cl 0.500 0.500 0.500

Model ii:
ScIr2Cl: relaxed, GGA-PBEsol.

Output
* space group: C2/m

a b c (Å): 2.873 4.554 5.448
angles (deg): 114.29 104.68 91.41
Positions (direct):
1 Sc 0.500 0.000 0.000
2 Ir 0.500 0.500 0.500
3 Ir 0.000 0.000 0.500
4 Cl 0.000 0.500 0.000

Energy comparison, zero being the most stable, in eV/atom: model i 0.262; model ii 0.000.